(1)
DFT (PBE) results for a relaxed Y3AlN crystal.

Computed properties:
- Energy: -6.6416 eV per atom
- Size of the total moment: 0.00 μB/cell
- Space-group type: R-3c (167)
- Fermi-level density of states: 13.31 states/eV per cell
- Uncorrected formation energy: -0.350 eV/atom

Lattice parameters (Å, degrees): 8.106 8.106 8.106 51.02 51.02 51.02
Sites, in units of the cell vectors:
Y: 0.055 0.750 0.445
Y: 0.250 0.555 0.945
Y: 0.445 0.055 0.750
Y: 0.555 0.945 0.250
Y: 0.750 0.445 0.055
Y: 0.945 0.250 0.555
Al: 0.000 0.000 0.000
Al: 0.500 0.500 0.500
N: 0.250 0.250 0.250
N: 0.750 0.750 0.750

---

(2)
DFT (PBE) results for a relaxed Cr3Br crystal.

Computed properties:
- Energy: -6.6858 eV per atom
- Size of the total moment: 0.01 μB/cell
- Excess energy over the best structure of this formula in the dataset: 524.3 meV/atom
- Space-group type: R-3m (166)
- Fermi-level density of states: 17.29 states/eV per cell
- Uncorrected formation energy: 0.950 eV/atom

Lattice parameters (Å, degrees): 8.018 8.018 2.864 90.00 90.00 120.00
Sites, in units of the cell vectors:
Cr: 0.000 0.500 0.000
Cr: 0.167 0.333 0.333
Cr: 0.167 0.833 0.333
Cr: 0.333 0.167 0.667
Cr: 0.500 0.000 0.000
Cr: 0.500 0.500 0.000
Cr: 0.667 0.833 0.333
Cr: 0.833 0.167 0.667
Cr: 0.833 0.667 0.667
Br: 0.000 0.000 0.000
Br: 0.333 0.667 0.667
Br: 0.667 0.333 0.333

---

(3)
DFT (PBE) results for a relaxed AlAg3 crystal.

Computed properties:
- Energy: -3.1048 eV per atom
- Size of the total moment: 0.00 μB/cell
- Space-group type: Cmmm (65)
- Formation enthalpy at 0 K: -0.03 eV per atom
- Fermi-level density of states: 4.33 states/eV per cell

Lattice parameters (Å, degrees): 5.822 11.581 4.091 90.00 90.00 90.00
Sites, in units of the cell vectors:
Al: 0.000 0.125 0.000
Al: 0.000 0.875 0.000
Al: 0.500 0.375 0.000
Al: 0.500 0.625 0.000
Ag: 0.000 0.372 0.000
Ag: 0.000 0.628 0.000
Ag: 0.244 0.000 0.500
Ag: 0.250 0.250 0.500
Ag: 0.250 0.750 0.500
Ag: 0.256 0.500 0.500
Ag: 0.500 0.128 0.000
Ag: 0.500 0.872 0.000
Ag: 0.744 0.500 0.500
Ag: 0.750 0.250 0.500
Ag: 0.750 0.750 0.500
Ag: 0.756 0.000 0.500

---

(4)
DFT (PBE) results for a relaxed BaHfS3 crystal.

Computed properties:
- Energy: -6.6154 eV per atom
- Size of the total moment: 0.00 μB/cell
- Space-group type: C2/c (15)
- Fermi-level density of states: 0.00 states/eV per cell
- Uncorrected formation energy: -1.764 eV/atom

Lattice parameters (Å, degrees): 9.364 9.364 6.395 91.39 91.39 88.38
Sites, in units of the cell vectors:
Ba: 0.106 0.304 0.344
Ba: 0.304 0.106 0.844
Ba: 0.696 0.894 0.156
Ba: 0.894 0.696 0.656
Hf: 0.254 0.746 0.250
Hf: 0.429 0.571 0.750
Hf: 0.571 0.429 0.250
Hf: 0.746 0.254 0.750
S: 0.007 0.743 0.131
S: 0.194 0.597 0.563
S: 0.257 0.993 0.369
S: 0.321 0.468 0.071
S: 0.403 0.806 0.937
S: 0.468 0.321 0.571
S: 0.532 0.679 0.429
S: 0.597 0.194 0.063
S: 0.679 0.532 0.929
S: 0.743 0.007 0.631
S: 0.806 0.403 0.437
S: 0.993 0.257 0.869

---

- Fermi-level density of states of number 1 (Y3AlN)?
  13.31 states/eV per cell

---

- What is the formula in the third record?
  AlAg3

---

- Which value of energy does entry 2 give?
  -6.6858 eV per atom